The following is a GGA-PBE calculation of a geometry-optimized Ca2UPt4 structure, from the Alexandria database.

Total DFT energy (no corrections) in eV per atom: -6.23
Formation enthalpy at 0 K in kJ per mole of atoms: -57.7

Geometry as extended XYZ:
```
7
Lattice="-2.329 2.329 7.097 2.329 -2.329 7.097 2.329 2.329 -7.097" Properties=species:S:1:pos:R:3 pbc="T T T"
Ca 0.000 0.000 3.367
Ca 0.000 0.000 10.828
U 0.000 0.000 7.097
Pt 2.329 0.000 1.570
Pt 2.329 0.000 5.527
Pt 0.000 2.329 1.570
Pt 0.000 2.329 5.527
```

***

The following is a GGA-PBE calculation of a geometry-optimized Ti2BeVH structure, from the Alexandria database.

Total DFT energy (no corrections) in eV per atom: -6.51

Geometry as extended XYZ:
```
5
Lattice="3.970 0.000 0.000 0.000 3.970 0.000 0.000 0.000 3.699" Properties=species:S:1:pos:R:3 pbc="T T T"
Ti 0.000 1.985 0.000
Ti 1.985 0.000 0.000
Be 0.000 0.000 1.850
V 1.985 1.985 1.850
H 1.985 1.985 0.000
```

***

The following is a GGA-PBE calculation of a geometry-optimized Cr4CoN structure, from the Alexandria database.

Raw formation energy in eV/f.u.: 0.93
Total DFT energy (no corrections) in eV per atom: -8.83

Geometry as extended XYZ:
```
12
Lattice="3.195 -5.281 0.000 3.195 5.281 0.000 -3.021 0.000 3.985" Properties=species:S:1:pos:R:3 pbc="T T T"
Cr -0.226 3.059 3.091
Cr -0.589 0.433 2.888
Cr 0.921 -0.433 0.895
Cr 2.084 3.059 2.887
Cr 1.284 -3.059 1.098
Cr 2.447 0.433 3.090
Cr 3.957 -0.433 1.098
Cr 3.594 -3.059 0.894
Co 2.439 1.500 0.996
Co 0.929 -1.500 2.989
N 0.929 4.658 2.989
N 2.439 -4.658 0.996
```

***

The following is a GGA-PBE calculation of a geometry-optimized CrIrPt2 structure, from the Alexandria database.

Total DFT energy (no corrections) in eV per atom: -7.75
Formation enthalpy at 0 K in kJ per mole of atoms: -10.6

Geometry as extended XYZ:
```
4
Lattice="2.741 -3.856 0.000 2.741 3.856 0.000 0.000 0.000 2.807" Properties=species:S:1:pos:R:3 pbc="T T T"
Cr 0.000 0.000 0.000
Ir 2.741 0.000 0.000
Pt 1.370 1.928 1.403
Pt 1.370 -1.928 1.403
```

***

The following is a GGA-PBE calculation of a geometry-optimized PtN2O2 structure, from the Alexandria database.

Raw formation energy in eV/f.u.: 9.20
Total DFT energy (no corrections) in eV per atom: -4.68

Geometry as extended XYZ:
```
5
Lattice="4.075 0.000 0.000 0.000 4.075 0.000 0.000 0.000 3.722" Properties=species:S:1:pos:R:3 pbc="T T T"
Pt 0.000 0.000 0.000
N 0.000 0.000 1.861
N 2.038 2.038 1.861
O 0.000 2.038 0.000
O 2.038 0.000 0.000
```

***

The following is a GGA-PBE calculation of a geometry-optimized RuRhI2N structure, from the Alexandria database.

Raw formation energy in eV/f.u.: 5.43
Total DFT energy (no corrections) in eV per atom: -4.52

Geometry as extended XYZ:
```
5
Lattice="5.473 0.000 0.000 0.000 5.473 0.000 0.000 0.000 3.626" Properties=species:S:1:pos:R:3 pbc="T T T"
Ru 0.000 0.000 0.000
Rh 2.736 2.736 1.813
I 0.000 2.736 1.813
I 2.736 0.000 1.813
N 2.736 2.736 0.000
```